# 1
Entry from Alexandria via LeMat-Bulk: Y2InCu after structural relaxation (GGA-PBE).

Properties
**Energy of formation from the pure elements**: -0.37 eV per atom
**Symmetry**: Pmmm, No. 47

Cell lengths 3.534, 3.568, 8.416 Å; angles 64.94, 90.00, 90.00 degrees
Fractional positions:
Y 0.000 0.974 0.026
Y 0.000 0.526 0.474
Cu 0.500 0.250 0.250
In 0.500 0.750 0.750


# 2
Entry from Alexandria via LeMat-Bulk: LaCeMgAl after structural relaxation (GGA-PBE).

Properties
**Energy of formation from the pure elements**: -0.16 eV per atom
**Symmetry**: F-43m, No. 216

Cell lengths 5.377, 5.377, 5.377 Å; angles 60.00, 60.00, 60.00 degrees
Fractional positions:
Mg 0.000 0.000 0.000
Al 0.500 0.500 0.500
Ce 0.250 0.250 0.250
La 0.750 0.750 0.750


# 3
Entry from Alexandria via LeMat-Bulk: Ba3Mg after structural relaxation (GGA-PBE).

Properties
**Energy of formation from the pure elements**: 0.05 eV per atom
**E above lowest polymorph**: 0.062 eV/atom
**Symmetry**: P6_3/mmc, No. 194

Cell lengths 8.327, 8.327, 6.718 Å; angles 90.00, 90.00, 120.00 degrees
Fractional positions:
Ba 0.828 0.172 0.250
Ba 0.172 0.828 0.750
Ba 0.828 0.656 0.250
Ba 0.172 0.344 0.750
Ba 0.344 0.172 0.250
Ba 0.656 0.828 0.750
Mg 0.333 0.667 0.250
Mg 0.667 0.333 0.750


# 4
Entry from Alexandria via LeMat-Bulk: Cs2PbCl6O after structural relaxation (GGA-PBE).

Properties
**Total DFT energy (no corrections)**: -3.06 eV/atom
**Symmetry**: I4/mmm, No. 139

Cell lengths 6.998, 6.998, 8.080 Å; angles 64.34, 64.34, 90.00 degrees
Fractional positions:
Pb 0.000 0.000 0.000
Cs 0.750 0.250 0.500
Cs 0.250 0.750 0.500
O 0.500 0.500 0.000
Cl 0.215 0.215 0.569
Cl 0.785 0.785 0.431
Cl 0.277 0.277 0.000
Cl 0.723 0.723 0.000
Cl 0.723 0.277 0.000
Cl 0.277 0.723 0.000


# 5
Entry from Alexandria via LeMat-Bulk: K2Cu2Se3 after structural relaxation (GGA-PBE).

Properties
**Total DFT energy (no corrections)**: -3.58 eV/atom
**Symmetry**: C2/m, No. 12

Cell lengths 4.130, 8.979, 10.161 Å; angles 77.10, 78.27, 76.70 degrees
Fractional positions:
K 0.267 0.123 0.342
K 0.733 0.877 0.658
K 0.377 0.275 0.970
K 0.623 0.725 0.030
Cu 0.022 0.267 0.690
Cu 0.978 0.733 0.310
Cu 0.422 0.519 0.637
Cu 0.578 0.481 0.363
Se 0.054 0.022 0.871
Se 0.946 0.978 0.129
Se 0.144 0.485 0.226
Se 0.856 0.515 0.774
Se 0.408 0.742 0.442
Se 0.592 0.258 0.558


# 6
Entry from Alexandria via LeMat-Bulk: SnAu2S3 after structural relaxation (GGA-PBE).

Properties
**Total DFT energy (no corrections)**: -3.89 eV/atom
**Symmetry**: Imm2, No. 44

Cell lengths 4.145, 6.042, 7.139 Å; angles 115.04, 106.88, 90.00 degrees
Fractional positions:
Sn 0.500 0.270 0.000
Au 0.797 0.506 0.595
Au 0.203 0.912 0.405
S 0.000 0.037 0.000
S 0.334 0.343 0.668
S 0.666 0.675 0.332


# 7
Entry from Alexandria via LeMat-Bulk: MnVSe2S after structural relaxation (GGA-PBE).

Properties
**Total DFT energy (no corrections)**: -6.32 eV/atom
**Symmetry**: Imm2, No. 44

Cell lengths 3.475, 4.481, 7.096 Å; angles 108.41, 104.17, 90.00 degrees
Fractional positions:
Mn 0.459 0.459 0.918
V 0.636 0.136 0.273
Se 0.271 0.271 0.542
Se 0.982 0.982 0.963
S 0.635 0.635 0.270


# 8
Entry from Alexandria via LeMat-Bulk: NbTcRu2 after structural relaxation (GGA-PBE).

Properties
**Energy of formation from the pure elements**: 0.19 eV per atom
**E above lowest polymorph**: 0.257 eV/atom
**Symmetry**: Fm-3m, No. 225

Cell lengths 4.441, 4.441, 4.441 Å; angles 60.00, 60.00, 60.00 degrees
Fractional positions:
Ru 0.250 0.250 0.250
Ru 0.750 0.750 0.750
Nb 0.000 0.000 0.000
Tc 0.500 0.500 0.500


# 9
Entry from Alexandria via LeMat-Bulk: KRb3V after structural relaxation (GGA-PBE).

Properties
**Energy of formation from the pure elements**: 0.76 eV per atom
**E above lowest polymorph**: 0.000 eV/atom
**Symmetry**: Pm-3m, No. 221

Cell lengths 7.170, 7.170, 7.170 Å; angles 90.00, 90.00, 90.00 degrees
Fractional positions:
K 0.500 0.500 0.500
Rb 0.000 0.500 0.000
Rb 0.000 0.000 0.500
Rb 0.500 0.000 0.000
V 0.000 0.000 0.000


# 10
Entry from Alexandria via LeMat-Bulk: LiPd2PbF8 after structural relaxation (GGA-PBE).

Properties
**Total DFT energy (no corrections)**: -4.27 eV/atom
**Symmetry**: I-4, No. 82

Cell lengths 5.775, 5.775, 6.474 Å; angles 116.49, 116.49, 90.00 degrees
Fractional positions:
Li 0.000 0.000 0.000
Pd 0.500 0.500 0.000
Pd 0.250 0.750 0.500
Pb 0.750 0.250 0.500
F 0.676 0.821 0.026
F 0.350 0.205 0.026
F 0.581 0.644 0.522
F 0.942 0.878 0.522
F 0.122 0.419 0.478
F 0.356 0.058 0.478
F 0.179 0.650 0.974
F 0.795 0.324 0.974


# 11
Entry from Alexandria via LeMat-Bulk: Ca3Sc5H12 after structural relaxation (GGA-PBE).

Properties
**Total DFT energy (no corrections)**: -4.30 eV/atom
**Symmetry**: Ia-3d, No. 230

Cell lengths 10.928, 10.928, 10.928 Å; angles 109.47, 109.47, 109.47 degrees
Fractional positions:
Ca 0.750 0.375 0.125
Ca 0.875 0.750 0.125
Ca 0.375 0.750 0.625
Ca 0.250 0.125 0.375
Ca 0.875 0.125 0.250
Ca 0.375 0.625 0.250
Ca 0.625 0.375 0.750
Ca 0.125 0.875 0.750
Ca 0.750 0.875 0.625
Ca 0.625 0.250 0.375
Ca 0.125 0.250 0.875
Ca 0.250 0.625 0.875
Sc 0.125 0.375 0.250
Sc 0.000 0.500 0.000
Sc 0.000 0.000 0.000
Sc 0.375 0.250 0.125
Sc 0.500 0.000 0.500
Sc 0.500 0.500 0.000
Sc 0.125 0.750 0.375
Sc 0.750 0.125 0.875
Sc 0.750 0.625 0.375
Sc 0.375 0.125 0.750
Sc 0.625 0.875 0.250
Sc 0.500 0.500 0.500
Sc 0.500 0.000 0.000
Sc 0.000 0.000 0.500
Sc 0.250 0.375 0.625
Sc 0.250 0.875 0.125
Sc 0.000 0.500 0.500
Sc 0.875 0.250 0.625
Sc 0.625 0.750 0.875
Sc 0.875 0.625 0.750
H 0.706 0.139 0.041
H 0.335 0.541 0.402
H 0.959 0.361 0.294
H 0.541 0.206 0.139
H 0.567 0.706 0.665
H 0.959 0.598 0.165
H 0.335 0.794 0.433
H 0.098 0.933 0.139
H 0.598 0.959 0.665
H 0.706 0.567 0.165
H 0.794 0.459 0.361
H 0.835 0.902 0.041
H 0.139 0.706 0.541
H 0.361 0.402 0.067
H 0.067 0.902 0.361
H 0.433 0.139 0.598
H 0.067 0.165 0.206
H 0.459 0.665 0.098
H 0.835 0.933 0.294
H 0.139 0.433 0.098
H 0.361 0.959 0.794
H 0.598 0.639 0.433
H 0.902 0.835 0.541
H 0.794 0.335 0.933
H 0.402 0.361 0.567
H 0.098 0.165 0.459
H 0.206 0.665 0.067
H 0.165 0.067 0.706
H 0.639 0.041 0.206
H 0.861 0.567 0.902
H 0.541 0.335 0.902
H 0.567 0.861 0.402
H 0.933 0.835 0.794
H 0.933 0.098 0.639
H 0.861 0.294 0.459
H 0.165 0.098 0.959
H 0.639 0.598 0.933
H 0.402 0.041 0.335
H 0.294 0.433 0.835
H 0.206 0.541 0.639
H 0.902 0.067 0.861
H 0.665 0.206 0.567
H 0.459 0.794 0.861
H 0.041 0.402 0.835
H 0.433 0.294 0.335
H 0.041 0.639 0.706
H 0.665 0.459 0.598
H 0.294 0.861 0.959


# 12
Entry from Alexandria via LeMat-Bulk: Sc2Si2GeRu5 after structural relaxation (GGA-PBE).

Properties
**Total DFT energy (no corrections)**: -8.14 eV/atom
**Symmetry**: P4/mbm, No. 127

Cell lengths 3.158, 9.768, 9.768 Å; angles 90.00, 90.00, 90.00 degrees
Fractional positions:
Sc 0.000 0.672 0.172
Sc 0.000 0.328 0.828
Sc 0.000 0.172 0.328
Sc 0.000 0.828 0.672
Si 0.000 0.129 0.629
Si 0.000 0.871 0.371
Si 0.000 0.629 0.871
Si 0.000 0.371 0.129
Ge 0.000 0.000 0.000
Ge 0.000 0.500 0.500
Ru 0.500 0.203 0.068
Ru 0.500 0.797 0.932
Ru 0.500 0.068 0.797
Ru 0.500 0.703 0.432
Ru 0.500 0.932 0.203
Ru 0.500 0.297 0.568
Ru 0.500 0.568 0.703
Ru 0.500 0.432 0.297
Ru 0.500 0.500 0.000
Ru 0.500 0.000 0.500


# 13
Entry from Alexandria via LeMat-Bulk: Nb6InSe12 after structural relaxation (GGA-PBE).

Properties
**Total DFT energy (no corrections)**: -5.91 eV/atom
**Symmetry**: R-3m, No. 166

Cell lengths 7.941, 7.941, 7.941 Å; angles 104.62, 104.62, 104.62 degrees
Fractional positions:
Nb 0.643 0.253 0.253
Nb 0.253 0.253 0.643
Nb 0.253 0.643 0.253
Nb 0.747 0.747 0.357
Nb 0.357 0.747 0.747
Nb 0.747 0.357 0.747
In 0.000 0.000 0.000
Se 0.875 0.125 0.500
Se 0.831 0.551 0.551
Se 0.551 0.551 0.831
Se 0.449 0.169 0.449
Se 0.449 0.449 0.169
Se 0.169 0.449 0.449
Se 0.125 0.500 0.875
Se 0.500 0.875 0.125
Se 0.125 0.875 0.500
Se 0.875 0.500 0.125
Se 0.500 0.125 0.875
Se 0.551 0.831 0.551


# 14
Entry from Alexandria via LeMat-Bulk: Na4ScHg5 after structural relaxation (GGA-PBE).

Properties
**Energy of formation from the pure elements**: -0.25 eV per atom
**Symmetry**: P4/mmm, No. 123

Cell lengths 3.586, 3.586, 19.381 Å; angles 90.00, 90.00, 90.00 degrees
Fractional positions:
Na 0.000 0.000 0.188
Na 0.000 0.000 0.397
Na 0.000 0.000 0.603
Na 0.000 0.000 0.812
Sc 0.000 0.000 0.000
Hg 0.500 0.500 0.086
Hg 0.500 0.500 0.293
Hg 0.500 0.500 0.500
Hg 0.500 0.500 0.707
Hg 0.500 0.500 0.914


# 15
Entry from Alexandria via LeMat-Bulk: CsVN2 after structural relaxation (GGA-PBE).

Properties
**Total DFT energy (no corrections)**: -4.75 eV/atom
**Symmetry**: Fm-3m, No. 225

Cell lengths 4.421, 4.421, 4.421 Å; angles 60.00, 60.00, 60.00 degrees
Fractional positions:
Cs 0.500 0.500 0.500
V 0.000 0.000 0.000
N 0.250 0.250 0.250
N 0.750 0.750 0.750


# 16
Entry from Alexandria via LeMat-Bulk: BaTaGeO6 after structural relaxation (GGA-PBE).

Properties
**Total DFT energy (no corrections)**: -7.60 eV/atom
**Symmetry**: P312, No. 149

Cell lengths 5.319, 5.319, 5.663 Å; angles 90.00, 90.00, 60.00 degrees
Fractional positions:
Ba 0.000 0.000 0.000
Ta 0.667 0.667 0.500
Ge 0.333 0.333 0.500
O 0.011 0.391 0.308
O 0.391 0.011 0.692
O 0.599 0.391 0.692
O 0.011 0.599 0.692
O 0.391 0.599 0.308
O 0.599 0.011 0.308


# 17
Entry from Alexandria via LeMat-Bulk: ScTi2GaC after structural relaxation (GGA-PBE).

Properties
**Energy of formation from the pure elements**: -0.61 eV per atom
**Symmetry**: P4/mmm, No. 123

Cell lengths 4.200, 4.200, 4.401 Å; angles 90.00, 90.00, 90.00 degrees
Fractional positions:
Sc 0.000 0.000 0.500
C 0.000 0.000 0.000
Ga 0.500 0.500 0.500
Ti 0.000 0.500 0.000
Ti 0.500 0.000 0.000


# 18
Entry from Alexandria via LeMat-Bulk: Rb2BaTmF8 after structural relaxation (GGA-PBE).

Properties
**Total DFT energy (no corrections)**: -5.20 eV/atom
**Symmetry**: I-4m2, No. 119

Cell lengths 6.254, 6.254, 7.368 Å; angles 115.11, 115.11, 90.00 degrees
Fractional positions:
Rb 0.750 0.250 0.500
Rb 0.000 0.000 0.000
Ba 0.500 0.500 0.000
Tm 0.250 0.750 0.500
F 0.160 0.644 0.724
F 0.564 0.644 0.724
F 0.356 0.436 0.276
F 0.920 0.840 0.276
F 0.564 0.080 0.724
F 0.356 0.840 0.276
F 0.160 0.080 0.724
F 0.920 0.436 0.276


# 19
Entry from Alexandria via LeMat-Bulk: Tb4Hg2N after structural relaxation (GGA-PBE).

Properties
**E above lowest polymorph**: 0.113 eV/atom
**Symmetry**: Pbam, No. 55

Cell lengths 3.613, 7.858, 12.508 Å; angles 90.00, 90.00, 90.00 degrees
Fractional positions:
Tb 0.000 0.616 0.817
Tb 0.000 0.384 0.183
Tb 0.000 0.116 0.683
Tb 0.000 0.884 0.317
Tb 0.500 0.803 0.550
Tb 0.500 0.197 0.450
Tb 0.500 0.697 0.050
Tb 0.500 0.303 0.950
Hg 0.500 0.933 0.847
Hg 0.500 0.067 0.153
Hg 0.500 0.433 0.653
Hg 0.500 0.567 0.347
N 0.000 0.000 0.500
N 0.000 0.500 0.000


# 20
Entry from Alexandria via LeMat-Bulk: LaTlNiHg2 after structural relaxation (GGA-PBE).

Properties
**Energy of formation from the pure elements**: -0.14 eV per atom
**E above lowest polymorph**: 0.072 eV/atom
**Symmetry**: P4/mmm, No. 123

Cell lengths 5.034, 5.034, 5.008 Å; angles 90.00, 90.00, 90.00 degrees
Fractional positions:
Ni 0.000 0.000 0.000
Tl 0.000 0.000 0.500
Hg 0.000 0.500 0.000
Hg 0.500 0.000 0.000
La 0.500 0.500 0.500


no.,calculated volume (A^3/atom),size of the total moment (μB/atom)
1,24.0,0.000
2,27.5,0.186
3,50.4,0.000
4,31.3,0.000
5,25.2,0.000
6,25.6,0.000
7,20.3,0.947
8,15.5,0.711
9,73.7,1.020
10,14.0,0.085
11,12.6,0.000
12,15.1,0.000
13,23.2,0.222
14,24.9,0.000
15,15.3,0.004
16,15.4,0.119
17,15.5,0.000
18,19.2,0.094
19,25.4,0.000
20,25.4,0.000